Arrangement i

The following is a PBE calculation of a relaxed structure of ReNiAs2, from the Alexandria database.

Cell lengths 4.298, 4.298, 4.886 Å; angles 83.72, 83.72, 42.06 degrees
Fractional coordinates of all 4 atoms:
As 0.980 0.980 0.012
As 0.520 0.520 0.488
Ni 0.750 0.750 0.750
Re 0.250 0.250 0.250

Arrangement ii

The following is a PBE calculation of a relaxed structure of ReNiAs2, from the Alexandria database.

Cell lengths 5.451, 5.451, 6.661 Å; angles 65.85, 65.85, 90.00 degrees
Fractional coordinates of all 8 atoms:
Re 0.000 0.000 0.000
Re 0.750 0.250 0.500
As 0.613 0.125 0.250
As 0.137 0.625 0.250
As 0.375 0.387 0.750
As 0.875 0.863 0.750
Ni 0.500 0.500 0.000
Ni 0.250 0.750 0.500

Arrangement iii

The following is a PBE calculation of a relaxed structure of ReNiAs2, from the Alexandria database.

Cell lengths 5.004, 4.985, 3.062 Å; angles 71.99, 90.23, 120.21 degrees
Fractional coordinates of all 4 atoms:
As 0.000 0.000 0.000
As 0.500 0.000 0.500
Ni 0.000 0.500 0.500
Re 0.500 0.500 0.000

Arrangement iv

The following is a PBE calculation of a relaxed structure of ReNiAs2, from the Alexandria database.

Cell lengths 3.133, 3.965, 4.868 Å; angles 90.00, 90.00, 90.00 degrees
Fractional coordinates of all 4 atoms:
Re 0.000 0.500 0.500
Ni 0.500 0.500 0.000
As 0.000 0.000 0.000
As 0.500 0.000 0.500

Short version: arrangement iii is the least stable of them.

Arrangement i

The following is a PBE calculation of a relaxed structure of ReNiAs2, from the Alexandria database.

Cell lengths 3.157, 3.635, 5.181 Å; angles 90.00, 90.00, 90.00 degrees
Fractional coordinates of all 4 atoms:
As 0.000 0.000 0.956
As 0.500 0.500 0.314
Ni 0.000 0.000 0.446
Re 0.500 0.500 0.784

Arrangement ii

The following is a PBE calculation of a relaxed structure of ReNiAs2, from the Alexandria database.

Cell lengths 4.141, 3.178, 4.823 Å; angles 95.66, 90.00, 90.00 degrees
Fractional coordinates of all 4 atoms:
As 0.000 0.920 0.032
As 0.000 0.580 0.468
Ni 0.500 0.250 0.250
Re 0.500 0.750 0.750

Arrangement iii

The following is a PBE calculation of a relaxed structure of ReNiAs2, from the Alexandria database.

Cell lengths 4.399, 4.399, 4.399 Å; angles 60.00, 60.00, 60.00 degrees
Fractional coordinates of all 4 atoms:
As 0.000 0.000 0.000
As 0.250 0.250 0.250
Ni 0.500 0.500 0.500
Re 0.750 0.750 0.750

Short version: arrangement iii is the least stable of them.

Arrangement i

The following is a PBE calculation of a relaxed structure of ReNiAs2, from the Alexandria database.

Cell lengths 3.240, 3.251, 6.214 Å; angles 74.84, 90.00, 90.00 degrees
Fractional coordinates of all 4 atoms:
As 0.000 0.957 0.962
As 0.500 0.224 0.426
Ni 0.000 0.757 0.361
Re 0.500 0.562 0.751

Arrangement ii

The following is a PBE calculation of a relaxed structure of ReNiAs2, from the Alexandria database.

Cell lengths 10.297, 10.297, 10.297 Å; angles 16.25, 16.25, 16.25 degrees
Fractional coordinates of all 4 atoms:
As 0.029 0.029 0.029
As 0.218 0.218 0.218
Ni 0.495 0.495 0.495
Re 0.758 0.758 0.758

Short version: arrangement ii is the least stable of them.